No. 1
GaCI2O: optimized geometry, GGA-PBEsol.

CIF file:
```
data_GaCI2O
_symmetry_space_group_name_H-M 'P 4/m m m'
_symmetry_Int_Tables_number 123
_symmetry_space_group_name_Hall '-P 4 2'
_cell_length_a 6.072
_cell_length_b 6.072
_cell_length_c 3.019
_cell_angle_alpha 90.00
_cell_angle_beta 90.00
_cell_angle_gamma 90.00
loop_
_atom_site_label
_atom_site_fract_x
_atom_site_fract_y
_atom_site_fract_z
Ga1 0.000 0.000 0.000
C1 0.500 0.500 0.500
I1 0.000 0.500 0.500
O1 0.500 0.500 0.000
```

Calculated values
uncorrected formation energy: 0.767 eV per atom
total magnetic moment: 0.00 μB per formula unit

=====

No. 2
GaSnC2I: optimized geometry, GGA-PBEsol.

CIF file:
```
data_GaSnC2I
_symmetry_space_group_name_H-M 'P 4/m m m'
_symmetry_Int_Tables_number 123
_symmetry_space_group_name_Hall '-P 4 2'
_cell_length_a 4.148
_cell_length_b 4.148
_cell_length_c 5.882
_cell_angle_alpha 90.00
_cell_angle_beta 90.00
_cell_angle_gamma 90.00
loop_
_atom_site_label
_atom_site_fract_x
_atom_site_fract_y
_atom_site_fract_z
Ga1 0.000 0.000 0.000
Sn1 0.000 0.000 0.500
C1 0.000 0.500 0.000
I1 0.500 0.500 0.500
```

Calculated values
uncorrected formation energy: 1.930 eV per atom
total magnetic moment: 1.46 μB per formula unit

=====

Number 1: N(E_F) 1.99 states/eV per cell. Number 2: N(E_F) 2.15 states/eV per cell.